(w)
A geometry-optimized Nd2Sm6Er structure. Source: the Alexandria database, functional PBE.

total magnetization = 0.00 Bohr magnetons per cell

abc: 16.6128 11.7921 6.2115
angles: 90.00 96.36 90.00
Closest atoms and distances in Å follow each position.
Space group C2/c (No. 15)
Inequivalent atoms, fractional coordinates:
Nd (0.1680, 0.0999, 0.0771) [8 per cell]  8 Sm 3.45-3.62
Sm (0.0476, 0.1411, 0.5130) [8 per cell]  4 Sm 3.33-3.68, 3 Nd 3.47-3.60, 1 Er 3.53
Sm (0.1153, 0.3599, 0.8206) [8 per cell]  4 Sm 3.33-3.63, 2 Er 3.40-3.49, 2 Nd 3.52-3.62
Sm (0.2101, 0.3627, 0.3515) [8 per cell]  4 Sm 3.42-3.63, 3 Nd 3.45-3.57, 1 Er 3.51
Er (0.0000, 0.4016, 0.2500) [4 per cell]  8 Sm 3.40-3.53

(x)
A geometry-optimized Nd2Sm6Er structure. Source: the Alexandria database, functional PBE.

total magnetization = 0.00 Bohr magnetons per cell

abc: 17.2000 9.8911 3.5424
angles: 90.00 90.06 90.00
Closest atoms and distances in Å follow each position.
Space group C2/m (No. 12)
Inequivalent atoms, fractional coordinates:
Nd (0.1669, 0.0000, 0.0001) [4 per cell]  2 Nd 3.54, 12 Sm 3.75-3.77
Sm (0.0000, 0.1692, 0.5000) [4 per cell]  5 Sm 3.28-3.54
Sm (0.1653, 0.3341, 0.5003) [8 per cell]  5 Sm 3.28-3.54
Er (0.0000, 0.5000, 0.0000) [2 per cell]  2 Er 3.54, 12 Sm 3.72-3.73

Verdict on stability: (x) comes out on top.

(w)
A geometry-optimized NdSm5Er5 structure. Source: the Alexandria database, functional PBE.

total magnetization = 0.00 Bohr magnetons per cell

abc: 6.1287 6.1287 11.4478
angles: 90.00 90.00 120.00
Closest atoms and distances in Å follow each position.
Space group P-6m2 (No. 187)
Inequivalent atoms, fractional coordinates:
Nd (0.0000, 0.0000, 0.0000) [1 per cell]  5 Er 3.54-3.75
Sm (0.0063, 0.5032, 0.5000) [3 per cell]  6 Sm 3.01-3.26
Sm (0.6667, 0.3333, 0.2628) [2 per cell]  1 Er 3.01, 3 Sm 3.26
Er (0.0000, 0.0000, 0.3279) [2 per cell]  9 Sm 3.62-3.64, 1 Nd 3.75, 4 Er 3.94-4.02
Er (0.3333, 0.6667, 0.1605) [2 per cell]  7 Er 3.67-4.02, 3 Sm 3.73, 3 Nd 3.99
Er (0.6667, 0.3333, 0.0000) [1 per cell]  2 Sm 3.01

(x)
A geometry-optimized NdSm5Er5 structure. Source: the Alexandria database, functional PBE.

total magnetization = 0.00 Bohr magnetons per cell

abc: 6.0806 6.0806 11.7688
angles: 90.00 90.00 120.00
Closest atoms and distances in Å follow each position.
Space group P-6m2 (No. 187)
Inequivalent atoms, fractional coordinates:
Nd (0.0000, 0.0000, 0.0000) [1 per cell]  5 Sm 3.51-3.77
Sm (0.0000, 0.0000, 0.3204) [2 per cell]  9 Er 3.57-3.70, 1 Nd 3.77
Sm (0.3333, 0.6667, 0.1551) [2 per cell]  7 Sm 3.65-4.01, 3 Er 3.75, 3 Nd 3.96
Sm (0.6667, 0.3333, 0.0000) [1 per cell]  2 Er 3.13
Er (0.9997, 0.4999, 0.5000) [3 per cell]  6 Er 3.04-3.26
Er (0.6667, 0.3333, 0.2661) [2 per cell]  1 Sm 3.13, 3 Er 3.26

Verdict on stability: (x) comes out on top.

(w)
A geometry-optimized Nd7Sm4Er structure. Source: the Alexandria database, functional PBE.

total magnetization = 0.00 Bohr magnetons per cell

abc: 6.3638 7.3524 9.0915
angles: 90.00 103.51 90.01
Closest atoms and distances in Å follow each position.
Space group P-1 (No. 2)
Inequivalent atoms, fractional coordinates:
Nd (0.0000, 0.0000, 0.0000) [1 per cell]  4 Sm 3.61-3.64, 6 Nd 3.62-3.68, 2 Er 3.68
Nd (0.2216, 0.5001, 0.6668) [2 per cell]  6 Nd 3.63-3.67, 1 Er 3.63, 5 Sm 3.65-3.68
Nd (0.2777, 0.2499, 0.3312) [2 per cell]  5 Nd 3.62-3.67, 1 Er 3.62, 6 Sm 3.64-3.68
Nd (0.5004, 0.2505, 0.9997) [2 per cell]  3 Sm 3.60-3.64, 7 Nd 3.62-3.68, 2 Er 3.67-3.68
Sm (0.2231, 0.0002, 0.6664) [2 per cell]  8 Nd 3.63-3.68, 4 Sm 3.63-3.68
Sm (0.2773, 0.7497, 0.3305) [2 per cell]  8 Nd 3.60-3.68, 1 Er 3.61, 3 Sm 3.65-3.68
Er (0.0000, 0.5000, 0.0000) [1 per cell]  2 Sm 3.61, 10 Nd 3.62-3.68

(x)
A geometry-optimized Nd7Sm4Er structure. Source: the Alexandria database, functional PBE.

total magnetization = 0.96 Bohr magnetons per cell

abc: 16.3873 6.0668 9.4167
angles: 90.00 115.94 90.00
Closest atoms and distances in Å follow each position.
Space group C2/m (No. 12)
Inequivalent atoms, fractional coordinates:
Nd (0.0000, 0.0000, 0.0000) [2 per cell]  2 Er 3.03
Nd (0.0815, 0.5000, 0.4374) [4 per cell]  3 Nd 3.36-3.72, 3 Sm 3.50-3.61, 1 Er 3.73
Nd (0.2077, 0.5000, 0.2249) [4 per cell]  1 Er 3.12, 2 Nd 3.29-3.45, 2 Sm 3.29-3.34
Nd (0.2080, 0.5000, 0.8760) [4 per cell]  3 Nd 3.29-3.63
Sm (0.0733, 0.0000, 0.6991) [4 per cell]  4 Nd 3.34-3.69, 1 Sm 3.46
Sm (0.1734, 0.0000, 0.3891) [4 per cell]  7 Nd 3.29-3.61
Er (0.0000, 0.5000, 0.0000) [2 per cell]  4 Nd 3.03-3.12

Verdict on stability: (w) comes out on top.

(w)
A geometry-optimized Nd2Sm4Er5 structure. Source: the Alexandria database, functional PBE.

total magnetization = 0.00 Bohr magnetons per cell

abc: 3.5146 9.1456 23.1143
angles: 90.00 90.00 90.00
Closest atoms and distances in Å follow each position.
Space group Immm (No. 71)
Inequivalent atoms, fractional coordinates:
Nd (0.0000, 0.0000, 0.2316) [4 per cell]  1 Sm 3.13, 2 Er 3.40
Sm (0.0000, 0.0000, 0.0963) [4 per cell]  1 Nd 3.13, 4 Sm 3.38, 4 Er 3.48
Sm (0.0000, 0.2998, 0.5000) [4 per cell]  4 Er 3.26-3.44, 6 Sm 3.38-3.51
Er (0.0000, 0.1937, 0.3573) [8 per cell]  1 Nd 3.40, 3 Sm 3.44-3.48, 3 Er 3.51-3.54
Er (0.0000, 0.5000, 0.0000) [2 per cell]  4 Sm 3.26, 2 Er 3.51

(x)
A geometry-optimized Nd2Sm4Er5 structure. Source: the Alexandria database, functional PBE.

total magnetization = 0.00 Bohr magnetons per cell

abc: 17.3860 3.5358 11.7644
angles: 90.00 95.17 90.00
Closest atoms and distances in Å follow each position.
Space group C2/m (No. 12)
Inequivalent atoms, fractional coordinates:
Nd (0.1351, 0.0000, 0.3132) [4 per cell]  2 Er 3.21-3.36, 3 Sm 3.42-3.56, 2 Nd 3.54
Sm (0.1762, 0.5000, 0.5742) [4 per cell]  3 Nd 3.42-3.56, 6 Sm 3.54-3.81, 3 Er 3.58-3.60
Sm (0.2307, 0.0000, 0.8573) [4 per cell]  5 Er 3.41-3.81, 6 Sm 3.54-3.81, 2 Nd 3.66
Er (0.0000, 0.0000, 0.5000) [2 per cell]  2 Nd 3.36, 2 Er 3.54, 4 Sm 3.58
Er (0.0385, 0.5000, 0.7852) [4 per cell]  8 Er 3.54-3.80, 2 Nd 3.60, 3 Sm 3.60-3.81
Er (0.0906, 0.0000, 0.0425) [4 per cell]  1 Nd 3.21, 5 Er 3.22-3.55, 1 Sm 3.41

Verdict on stability: (x) comes out on top.

(w)
A geometry-optimized Nd4Sm3Er8 structure. Source: the Alexandria database, functional PBE.

total magnetization = 0.00 Bohr magnetons per cell

abc: 13.4295 12.8593 6.7592
angles: 90.00 120.14 90.00
Closest atoms and distances in Å follow each position.
Space group C2/m (No. 12)
Inequivalent atoms, fractional coordinates:
Nd (0.0000, 0.0000, 0.0000) [2 per cell]  6 Er 3.29-3.51, 2 Nd 3.38
Nd (0.0000, 0.0000, 0.5000) [2 per cell]  2 Nd 3.38, 4 Er 3.58-3.59
Nd (0.2500, 0.2500, 0.0000) [4 per cell]  4 Er 3.22-3.36, 2 Sm 3.38
Sm (0.0000, 0.5000, 0.0000) [2 per cell]  6 Er 3.14-3.22
Sm (0.2500, 0.2500, 0.5000) [4 per cell]  4 Er 3.22-3.36, 2 Nd 3.38
Er (0.0000, 0.2561, 0.0000) [4 per cell]  3 Sm 3.14-3.36, 3 Nd 3.29-3.36
Er (0.0000, 0.3616, 0.5000) [4 per cell]  7 Er 3.56-3.64, 4 Sm 3.65-3.82, 2 Nd 3.65
Er (0.2314, 0.5000, 0.9700) [4 per cell]  1 Sm 3.21, 4 Nd 3.22-3.59, 2 Er 3.23-3.53
Er (0.2317, 0.5000, 0.4919) [4 per cell]  3 Sm 3.22, 2 Er 3.23-3.53, 2 Nd 3.51-3.58

(x)
A geometry-optimized Nd4Sm3Er8 structure. Source: the Alexandria database, functional PBE.

total magnetization = 0.00 Bohr magnetons per cell

abc: 6.9727 6.9727 35.4652
angles: 90.00 90.00 120.00
Closest atoms and distances in Å follow each position.
Space group R-3m (No. 166, hexagonal axes)
Inequivalent atoms, fractional coordinates:
Nd (0.0000, 0.0000, 0.0000) [3 per cell]  6 Sm 3.49, 6 Er 3.57
Nd (0.0000, 0.0000, 0.1635) [6 per cell]  4 Er 3.23-3.50
Nd (0.0000, 0.0000, 0.5000) [3 per cell]  6 Er 3.59
Sm (0.0000, 0.5000, 0.0000) [9 per cell]  6 Er 3.44-3.56, 4 Sm 3.49, 2 Nd 3.49
Er (0.0000, 0.0000, 0.2547) [6 per cell]  1 Nd 3.23, 3 Sm 3.44, 6 Er 3.49
Er (0.0012, 0.5006, 0.2505) [18 per cell]  6 Er 3.47-3.50, 3 Nd 3.50-3.59, 2 Sm 3.56

Verdict on stability: (x) comes out on top.

(w)
A geometry-optimized Nd2SmEr7 structure. Source: the Alexandria database, functional PBE.

total magnetization = 0.02 Bohr magnetons per cell

abc: 5.4360 7.0201 16.6894
angles: 90.00 90.00 90.00
Closest atoms and distances in Å follow each position.
Space group Immm (No. 71)
Inequivalent atoms, fractional coordinates:
Nd (0.0000, 0.0000, 0.1983) [4 per cell]  9 Er 3.21-3.57
Sm (0.0000, 0.5000, 0.0000) [2 per cell]  12 Er 3.34-3.70
Er (0.0000, 0.0000, 0.0000) [2 per cell]  2 Nd 3.31, 2 Sm 3.51, 8 Er 3.70
Er (0.0000, 0.2502, 0.3927) [8 per cell]  8 Er 3.51-3.70, 3 Nd 3.57-3.69, 2 Sm 3.70
Er (0.0000, 0.5000, 0.1999) [4 per cell]  4 Nd 3.21-3.51, 1 Sm 3.34, 4 Er 3.59

(x)
A geometry-optimized Nd2SmEr7 structure. Source: the Alexandria database, functional PBE.

total magnetization = 0.00 Bohr magnetons per cell

abc: 6.4696 28.7768 3.5109
angles: 90.00 90.00 90.00
Closest atoms and distances in Å follow each position.
Space group Cmmm (No. 65)
Inequivalent atoms, fractional coordinates:
Nd (0.0000, 0.2081, 0.0000) [4 per cell]  2 Nd 3.51, 8 Er 3.55-3.74
Sm (0.0000, 0.5000, 0.5000) [2 per cell]  2 Sm 3.51, 12 Er 3.68-3.70
Er (0.0000, 0.0000, 0.0000) [2 per cell]  6 Er 3.27-3.51
Er (0.0000, 0.3156, 0.5000) [4 per cell]  6 Er 3.43-3.51, 6 Nd 3.55-3.74
Er (0.2470, 0.4016, 0.0000) [8 per cell]  7 Er 3.20-3.51, 1 Nd 3.56

Verdict on stability: (w) comes out on top.

(w)
A geometry-optimized Nd6SmEr3 structure. Source: the Alexandria database, functional PBE.

total magnetization = 0.00 Bohr magnetons per cell

abc: 9.8284 21.4421 6.4650
angles: 90.00 90.00 90.00
Closest atoms and distances in Å follow each position.
Space group Cmc2_1 (No. 36)
Inequivalent atoms, fractional coordinates:
Nd (0.0000, 0.0154, 0.0000) [4 per cell]  2 Nd 3.30, 1 Sm 3.32, 4 Er 3.53-3.66
Nd (0.0000, 0.3007, 0.0005) [4 per cell]  1 Er 3.17, 1 Sm 3.36, 2 Nd 3.55
Nd (0.1741, 0.2810, 0.4764) [8 per cell]  3 Er 3.34-3.73, 3 Nd 3.42-3.65, 1 Sm 3.67
Nd (0.1791, 0.4409, 0.2252) [8 per cell]  3 Er 3.38-3.60, 3 Nd 3.52-3.77
Sm (0.0000, 0.1572, 0.7917) [4 per cell]  4 Nd 3.32-3.67, 2 Er 3.57
Er (0.0000, 0.4190, 0.7052) [4 per cell]  3 Nd 3.17-3.48, 2 Er 3.47
Er (0.1680, 0.1259, 0.3133) [8 per cell]  2 Er 3.30-3.47, 5 Nd 3.34-3.66, 1 Sm 3.57

(x)
A geometry-optimized Nd6SmEr3 structure. Source: the Alexandria database, functional PBE.

total magnetization = 0.00 Bohr magnetons per cell

abc: 11.0178 19.3386 6.3573
angles: 90.00 90.00 90.00
Closest atoms and distances in Å follow each position.
Space group Cmc2_1 (No. 36)
Inequivalent atoms, fractional coordinates:
Nd (0.0000, 0.0365, 0.0000) [4 per cell]  1 Sm 3.41, 4 Nd 3.48-3.80, 4 Er 3.53-3.59
Nd (0.0000, 0.2810, 0.2319) [4 per cell]  2 Nd 3.14, 1 Sm 3.38, 1 Er 3.42
Nd (0.1689, 0.4593, 0.3334) [8 per cell]  4 Er 3.49-3.76, 5 Nd 3.53-3.80
Nd (0.2334, 0.2908, 0.5135) [8 per cell]  1 Nd 3.14, 1 Er 3.32, 1 Sm 3.33
Sm (0.0000, 0.1954, 0.7689) [4 per cell]  3 Er 3.31-3.66, 6 Nd 3.33-3.56
Er (0.0000, 0.3846, 0.7954) [4 per cell]  7 Nd 3.42-3.76, 1 Sm 3.66, 2 Er 3.70
Er (0.1714, 0.1150, 0.4172) [8 per cell]  1 Sm 3.31, 6 Nd 3.32-3.59, 1 Er 3.70

Verdict on stability: (w) comes out on top.

(w)
A geometry-optimized NdSm7Er3 structure. Source: the Alexandria database, functional PBE.

total magnetization = 0.00 Bohr magnetons per cell

abc: 6.5432 6.7290 8.7110
angles: 99.66 98.96 95.72
Closest atoms and distances in Å follow each position.
Space group P-1 (No. 2)
Inequivalent atoms, fractional coordinates:
Nd (0.0000, 0.0000, 0.0000) [1 per cell]  8 Sm 3.36-3.69
Sm (0.0000, 0.5000, 0.0000) [1 per cell]  2 Nd 3.36, 2 Er 3.43, 6 Sm 3.49-3.56
Sm (0.0534, 0.2102, 0.6406) [2 per cell]  6 Sm 3.35-3.68, 3 Er 3.55-3.69, 1 Nd 3.69
Sm (0.2223, 0.7224, 0.7107) [2 per cell]  4 Er 3.40-3.65, 6 Sm 3.43-3.74, 1 Nd 3.47
Sm (0.4850, 0.2393, 0.9128) [2 per cell]  5 Sm 3.36-3.74, 1 Nd 3.66, 2 Er 3.66-3.71
Er (0.3098, 0.4329, 0.3388) [2 per cell]  2 Er 3.38-3.68, 7 Sm 3.40-3.76
Er (0.5000, 0.0000, 0.5000) [1 per cell]  8 Sm 3.42-3.71, 2 Er 3.68

(x)
A geometry-optimized NdSm7Er3 structure. Source: the Alexandria database, functional PBE.

total magnetization = 0.00 Bohr magnetons per cell

abc: 7.1588 7.1588 8.6447
angles: 90.00 90.00 120.00
Closest atoms and distances in Å follow each position.
Space group P3m1 (No. 156)
Inequivalent atoms, fractional coordinates:
Nd (0.0000, 0.0000, 0.0000) [1 per cell]  9 Sm 3.53-3.58, 3 Er 3.60
Sm (0.1658, 0.3316, 0.6676) [3 per cell]  2 Er 3.50, 1 Nd 3.53, 8 Sm 3.56-3.64
Sm (0.5010, 0.0020, 0.0127) [3 per cell]  2 Er 3.50, 7 Sm 3.54-3.64, 2 Nd 3.58
Sm (0.6667, 0.3333, 0.6797) [1 per cell]  9 Sm 3.54-3.58, 3 Er 3.58
Er (0.3339, 0.1670, 0.3408) [3 per cell]  5 Sm 3.50-3.58, 4 Er 3.57-3.59, 1 Nd 3.60

Verdict on stability: (w) comes out on top.